The following is a DFT calculation (GGA-PBEsol) of a relaxed CdAgPt crystal.

Calculated values
ΔE_f, eV/atom: -0.155
Space-group type: No. 44

a = 4.9552 Å, b = 4.9552 Å, c = 4.9552 Å
α = 145.99°, β = 132.20°, γ = 59.96°
With the nearest neighbours (Å) after each atom.
Fractional positions:
Cd (0.0000, 0.0000, 0.0000)  5 Ag 2.82-2.88, 5 Pt 2.85-2.89, 2 Cd 2.90
Ag (0.3287, 0.3287, 0.0000)  5 Cd 2.82-2.88, 5 Pt 2.85-2.88, 2 Ag 2.90
Pt (0.6636, 0.6636, 0.0000)  5 Cd 2.85-2.89, 5 Ag 2.85-2.88, 2 Pt 2.90